# 1
Material: La2MgSnO6
Method: DFT, GGA-PBE
State: relaxed

abc: 5.6756 5.8033 9.8858
angles: 90.00 124.87 90.00
Last column: nearest neighbours and their distance in Å.
Sites, in units of the cell vectors:
La1 0.2369 0.0457 0.2496  4 O 2.40-2.53
La2 0.2369 0.4543 0.7496  4 O 2.40-2.53
La3 0.7631 0.5457 0.2504  4 O 2.40-2.53
La4 0.7631 0.9543 0.7504  4 O 2.40-2.53
Mg1 0.0000 0.0000 0.5000  6 O 2.11-2.12
Mg2 0.0000 0.5000 0.0000  6 O 2.11-2.12
Sn1 0.5000 0.0000 0.0000  6 O 2.09-2.10
Sn2 0.5000 0.5000 0.5000  6 O 2.09-2.10
O1 0.1545 0.2038 0.9485  1 Sn 2.09, 1 Mg 2.12
O2 0.1545 0.2962 0.4485  1 Sn 2.09, 1 Mg 2.12
O3 0.2440 0.7068 0.9467  1 Sn 2.10, 1 Mg 2.11
O4 0.2440 0.7932 0.4467  1 Sn 2.10, 1 Mg 2.11
O5 0.3496 0.0326 0.7515  1 Sn 2.10, 1 Mg 2.12
O6 0.3496 0.4674 0.2515  1 Sn 2.10, 1 Mg 2.12
O7 0.6504 0.5326 0.7485  1 Sn 2.10, 1 Mg 2.12
O8 0.6504 0.9674 0.2485  1 Sn 2.10, 1 Mg 2.12
O9 0.7560 0.2068 0.5533  1 Sn 2.10, 1 Mg 2.11
O10 0.7560 0.2932 0.0533  1 Sn 2.10, 1 Mg 2.11
O11 0.8455 0.7038 0.5515  1 Sn 2.09, 1 Mg 2.12
O12 0.8455 0.7962 0.0515  1 Sn 2.09, 1 Mg 2.12

Values from the calculation:
Uncorrected formation energy   -2.81 eV/atom
Symmetry   P2_1/c

# 2
Material: Sr2LaMgO
Method: DFT, GGA-PBE
State: relaxed

abc: 5.5720 5.5720 4.8253
angles: 90.00 90.00 90.00
Last column: nearest neighbours and their distance in Å.
Sites, in units of the cell vectors:
Sr1 0.0000 0.5000 0.0000  2 O 2.79
Sr2 0.5000 0.0000 0.0000  2 O 2.79
La1 0.0000 0.0000 0.5000  2 O 2.41
Mg1 0.5000 0.5000 0.5000  8 Sr 3.69, 4 La 3.94
O1 0.0000 0.0000 0.0000  2 La 2.41

Values from the calculation:
Uncorrected formation energy   -1.06 eV/atom
Symmetry   P4/mmm

# 3
Material: LaMg2TaO6
Method: DFT, GGA-PBE
State: relaxed

abc: 7.3326 7.3326 7.3326
angles: 124.35 117.60 88.43
Last column: nearest neighbours and their distance in Å.
Sites, in units of the cell vectors:
La1 0.0000 0.0000 0.0000  6 O 2.39-2.43
La2 0.5000 0.0000 0.5000  6 O 2.39-2.43
Mg1 0.0000 0.0000 0.5000  4 O 1.97
Mg2 0.0000 0.5000 0.0000  4 O 1.97
Mg3 0.5000 0.0000 0.0000  2 O 2.05
Mg4 0.5000 0.5000 0.5000  2 O 2.05
Ta1 0.0000 0.5000 0.5000  6 O 1.99-2.06
Ta2 0.5000 0.5000 0.0000  6 O 1.99-2.06
O1 0.0566 0.4084 0.2231  1 Mg 1.97, 1 Ta 1.99
O2 0.0566 0.8335 0.6482  1 Mg 1.97, 1 Ta 1.99
O3 0.3147 0.1665 0.7231  1 Mg 1.97, 1 Ta 1.99
O4 0.3147 0.5916 0.1482  1 Mg 1.97, 1 Ta 1.99
O5 0.3266 0.5766 0.7500  2 Ta 2.06
O6 0.3934 0.1434 0.2500  2 Mg 2.05
O7 0.6066 0.8566 0.7500  2 Mg 2.05
O8 0.6734 0.4234 0.2500  2 Ta 2.06
O9 0.6853 0.4084 0.8518  1 Mg 1.97, 1 Ta 1.99
O10 0.6853 0.8335 0.2769  1 Mg 1.97, 1 Ta 1.99
O11 0.9434 0.1665 0.3518  1 Mg 1.97, 1 Ta 1.99
O12 0.9434 0.5916 0.7769  1 Mg 1.97, 1 Ta 1.99

Values from the calculation:
Uncorrected formation energy   -2.78 eV/atom
Symmetry   Imma

# 4
Material: La2TbMgO
Method: DFT, GGA-PBE
State: relaxed

abc: 5.1811 5.1811 4.7580
angles: 90.00 90.00 90.00
Last column: nearest neighbours and their distance in Å.
Sites, in units of the cell vectors:
La1 0.0000 0.5000 0.0000  2 O 2.59
La2 0.5000 0.0000 0.0000  2 O 2.59
Tb1 0.0000 0.0000 0.5000  2 O 2.38
Mg1 0.5000 0.5000 0.5000  8 La 3.52, 4 Tb 3.66
O1 0.0000 0.0000 0.0000  2 Tb 2.38, 4 La 2.59

Values from the calculation:
Uncorrected formation energy   -1.20 eV/atom
Symmetry   P4/mmm

# 5
Material: LaMgTc2O8
Method: DFT, GGA-PBE
State: relaxed

abc: 5.7598 5.7598 6.7033
angles: 90.00 90.00 120.00
Last column: nearest neighbours and their distance in Å.
Sites, in units of the cell vectors:
La1 0.0000 0.0000 0.0000  6 O 2.50
Mg1 0.0000 0.0000 0.5000  6 O 2.08
Tc1 0.3333 0.6667 0.2285  4 O 1.79-1.82
Tc2 0.6667 0.3333 0.7715  4 O 1.79-1.82
O1 0.1557 0.3114 0.2926  1 Tc 1.82
O2 0.1557 0.8443 0.2926  1 Tc 1.82
O3 0.3114 0.1557 0.7074  1 Tc 1.82
O4 0.3333 0.6667 0.9618  1 Tc 1.79
O5 0.6667 0.3333 0.0382  1 Tc 1.79
O6 0.6886 0.8443 0.2926  1 Tc 1.82
O7 0.8443 0.1557 0.7074  1 Tc 1.82
O8 0.8443 0.6886 0.7074  1 Tc 1.82

Values from the calculation:
Uncorrected formation energy   -1.94 eV/atom
Symmetry   P-3m1

# 6
Material: LaMgTe2O8
Method: DFT, GGA-PBE
State: relaxed

abc: 5.8625 5.8625 6.8775
angles: 90.00 90.00 120.00
Last column: nearest neighbours and their distance in Å.
Sites, in units of the cell vectors:
La1 0.0000 0.0000 0.0000  6 O 2.52
Mg1 0.0000 0.0000 0.5000  6 O 2.09
Te1 0.3333 0.6667 0.2367  4 O 1.84-1.90
Te2 0.6667 0.3333 0.7633  4 O 1.84-1.90
O1 0.1499 0.2998 0.2925  1 Te 1.90, 1 Mg 2.09
O2 0.1499 0.8501 0.2925  1 Te 1.90, 1 Mg 2.09
O3 0.2998 0.1499 0.7075  1 Te 1.90, 1 Mg 2.09
O4 0.3333 0.6667 0.9689  1 Te 1.84
O5 0.6667 0.3333 0.0311  1 Te 1.84
O6 0.7002 0.8501 0.2925  1 Te 1.90, 1 Mg 2.09
O7 0.8501 0.1499 0.7075  1 Te 1.90, 1 Mg 2.09
O8 0.8501 0.7002 0.7075  1 Te 1.90, 1 Mg 2.09

Values from the calculation:
Uncorrected formation energy   -1.62 eV/atom
Symmetry   P-3m1

# 7
Material: LaMgTeO6
Method: DFT, GGA-PBE
State: relaxed

abc: 5.3474 5.3474 5.1421
angles: 90.00 90.00 120.00
Last column: nearest neighbours and their distance in Å.
Sites, in units of the cell vectors:
La1 0.0000 0.0000 0.0000  6 O 2.45
Mg1 0.3333 0.6667 0.5000  6 O 2.11
Te1 0.6667 0.3333 0.5000  6 O 1.95
O1 0.3756 0.0225 0.7123  1 Te 1.95, 1 Mg 2.11
O2 0.3756 0.3531 0.2877  1 Te 1.95, 1 Mg 2.11
O3 0.6469 0.0225 0.2877  1 Te 1.95, 1 Mg 2.11
O4 0.6469 0.6244 0.7123  1 Te 1.95, 1 Mg 2.11
O5 0.9775 0.3531 0.7123  1 Te 1.95, 1 Mg 2.11
O6 0.9775 0.6244 0.2877  1 Te 1.95, 1 Mg 2.11

Values from the calculation:
Uncorrected formation energy   -2.02 eV/atom
Symmetry   P312

# 8
Material: La2MgTiO
Method: DFT, GGA-PBE
State: relaxed

abc: 5.3683 5.3683 4.0132
angles: 90.00 90.00 90.00
Last column: nearest neighbours and their distance in Å.
Sites, in units of the cell vectors:
La1 0.0000 0.5000 0.0000  2 O 2.68
La2 0.5000 0.0000 0.0000  2 O 2.68
Mg1 0.0000 0.0000 0.5000  8 La 3.35
Ti1 0.5000 0.5000 0.5000  2 O 2.01
O1 0.5000 0.5000 0.0000  2 Ti 2.01

Values from the calculation:
Uncorrected formation energy   -1.12 eV/atom
Symmetry   P4/mmm

# 9
Material: La2MgTiO6
Method: DFT, GGA-PBE
State: relaxed

abc: 5.5868 5.6530 9.6869
angles: 90.00 125.12 90.00
Last column: nearest neighbours and their distance in Å.
Sites, in units of the cell vectors:
La1 0.2424 0.0393 0.2507  6 O 2.40-2.67
La2 0.2424 0.4607 0.7507  6 O 2.40-2.67
La3 0.7576 0.5393 0.2493  6 O 2.40-2.67
La4 0.7576 0.9607 0.7493  6 O 2.40-2.67
Mg1 0.5000 0.0000 0.0000  6 O 2.10
Mg2 0.5000 0.5000 0.5000  6 O 2.10
Ti1 0.0000 0.0000 0.5000  6 O 1.98-1.99
Ti2 0.0000 0.5000 0.0000  6 O 1.98-1.99
O1 0.1572 0.2173 0.9543  1 Ti 1.99, 1 Mg 2.10
O2 0.1572 0.2827 0.4543  1 Ti 1.99, 1 Mg 2.10
O3 0.2381 0.7034 0.9569  1 Ti 1.98, 1 Mg 2.10
O4 0.2381 0.7966 0.4569  1 Ti 1.98, 1 Mg 2.10
O5 0.3260 0.0225 0.7426  1 Ti 1.98, 1 Mg 2.10
O6 0.3260 0.4775 0.2426  1 Ti 1.98, 1 Mg 2.10
O7 0.6740 0.5225 0.7574  1 Ti 1.98, 1 Mg 2.10
O8 0.6740 0.9775 0.2574  1 Ti 1.98, 1 Mg 2.10
O9 0.7619 0.2034 0.5431  1 Ti 1.98, 1 Mg 2.10
O10 0.7619 0.2967 0.0431  1 Ti 1.98, 1 Mg 2.10
O11 0.8428 0.7173 0.5457  1 Ti 1.99, 1 Mg 2.10
O12 0.8428 0.7827 0.0457  1 Ti 1.99, 1 Mg 2.10

Values from the calculation:
Uncorrected formation energy   -3.27 eV/atom
Symmetry   P2_1/c

These records have calculated volume values of 267, 150, 273, 128, 193, 205, 127, 116, 250 Å³ per cell, in the order they appear.
These records have mass density values of 6425, 3929, 5643, 6202, 4201, 4432, 5044, 5255, 5919 kg/m³, in the order they appear.